Li2CeCdO4 | the Alexandria database | PBE | optimized geometry; formation energy from raw total energies = -2.155 eV per atom; DFT total energy = -5.968 eV/atom; D(E_F) = 0.00 states/eV per cell
1.0
-4.287 1.961 -2.632
-3.504 -3.151 -2.178
-4.743 -0.109 2.107
O Cd Li Ce
4 1 2 1
Direct
0.590 0.410 0.900
0.900 0.590 0.100
0.100 0.900 0.410
0.410 0.100 0.590
0.000 0.000 0.000
0.750 0.750 0.750
0.250 0.250 0.250
0.500 0.500 0.500